(1)
First-principles (PBE) data for a relaxed structure of BaZnCl, as listed in Alexandria via LeMat-Bulk. Values from VASP.

Results
* energy above the lowest structure with this stoichiometry: 0.026 eV/atom
* V: 37.54 Å³ per atom
* density of states at the Fermi level: 2.1 states/eV per cell
* formation energy from raw total energies: -0.92 eV per atom
* magnetic moment: 0.2 μB/cell
* VASP energy: -7.805 eV for the cell shown

Cell and atoms, written as Quantum ESPRESSO input:
```
&SYSTEM
  ibrav = 0, nat = 3, ntyp = 3
/
ATOMIC_SPECIES
Ba 137.33 Ba.upf
Zn 65.41 Zn.upf
Cl 35.45 Cl.upf
CELL_PARAMETERS angstrom
5.272 0.000 0.000
-2.636 4.566 0.000
0.000 0.000 4.677
ATOMIC_POSITIONS angstrom
Ba 0.000 0.000 0.000
Zn 0.000 3.044 2.341
Cl 2.636 1.522 0.052
```

=====

(2)
First-principles (PBE) data for a relaxed structure of USn2P2Pt7, as listed in Alexandria via LeMat-Bulk. Values from VASP.

Results
* V: 19.78 Å³ per atom
* density of states at the Fermi level: 10.0 states/eV per cell
* magnetic moment: 1.8 μB/cell
* E_form: -0.556 eV per atom
* VASP energy: -79.069 eV for the cell shown

Cell and atoms, written as Quantum ESPRESSO input:
```
&SYSTEM
  ibrav = 0, nat = 12, ntyp = 4
/
ATOMIC_SPECIES
U 238.03 U.upf
Sn 118.71 Sn.upf
P 30.97 P.upf
Pt 195.08 Pt.upf
CELL_PARAMETERS angstrom
2.797 -2.797 0.000
2.797 2.797 0.000
-2.774 0.000 15.171
ATOMIC_POSITIONS angstrom
U 0.000 0.000 0.000
Sn 0.007 0.000 6.470
Sn 2.812 0.000 8.701
P 0.021 0.000 11.550
P 2.798 0.000 3.621
Pt 1.400 1.399 2.271
Pt 0.016 0.000 9.255
Pt 1.420 1.399 12.900
Pt 2.797 0.000 0.000
Pt 1.400 -1.399 2.271
Pt 2.803 0.000 5.916
Pt 1.420 -1.399 12.900
```

=====

(3)
First-principles (PBE) data for a relaxed structure of Li2Ca2Al5Pd, as listed in Alexandria via LeMat-Bulk. Values from VASP.

Results
* V: 19.24 Å³ per atom
* density of states at the Fermi level: 7.2 states/eV per cell
* magnetic moment: 0.0 μB/cell
* E_form: -0.255 eV per atom
* VASP energy: -68.579 eV for the cell shown

Cell and atoms, written as Quantum ESPRESSO input:
```
&SYSTEM
  ibrav = 0, nat = 20, ntyp = 4
/
ATOMIC_SPECIES
Li 6.94 Li.upf
Ca 40.08 Ca.upf
Al 26.98 Al.upf
Pd 106.42 Pd.upf
CELL_PARAMETERS angstrom
10.403 0.000 0.000
0.000 10.403 0.000
0.000 0.000 3.557
ATOMIC_POSITIONS angstrom
Li 1.313 3.888 0.000
Li 3.888 9.089 0.000
Li 6.514 1.313 0.000
Li 9.089 6.514 0.000
Ca 1.866 7.067 0.000
Ca 3.335 1.866 0.000
Ca 7.067 8.537 0.000
Ca 8.537 3.335 0.000
Al 0.000 5.201 1.778
Al 0.489 1.927 1.778
Al 1.927 9.913 1.778
Al 3.275 4.712 1.778
Al 4.712 7.128 1.778
Al 5.201 0.000 1.778
Al 5.691 3.275 1.778
Al 7.128 5.691 1.778
Al 8.476 0.489 1.778
Al 9.913 8.476 1.778
Pd 0.000 0.000 0.000
Pd 5.201 5.201 0.000
```